Record 1
VASP calculation (PBE) on a relaxed ScCuBi2 crystal.

```
ScCuBi2
1.0
-1.411 -4.673 -1.780
-1.182 -3.803 3.337
-4.922 -1.589 0.491
Bi Cu Sc
2 1 1
direct
0.500 0.500 0.500 Bi
0.750 0.750 0.750 Bi
0.250 0.250 0.250 Cu
0.000 0.000 0.000 Sc
```

Properties
Magnetic moment in μB/atom: 0.0008
Space-group type: No. 216
Energy in hartree per atom: -0.1620

=====

Record 2
VASP calculation (PBE) on a relaxed ScCu2Bi crystal.

```
ScCu2Bi
1.0
-0.874 -0.318 4.627
-3.223 2.814 1.992
-4.094 -1.799 1.510
Bi Cu Sc
1 2 1
direct
0.000 0.000 0.000 Bi
0.500 0.500 0.500 Cu
0.750 0.750 0.750 Cu
0.250 0.250 0.250 Sc
```

Properties
Magnetic moment in μB/atom: 0.0000
Space-group type: No. 216
Energy in hartree per atom: -0.1641